# 1
DFT (PBE-GGA) results for an optimized crystal structure of BaYTa2.

Cell: 3.226 3.226 10.919 Å, 90.00 90.00 108.02°
Fractional positions:
Ba 0.500 0.500 0.779
Ta 0.000 0.000 0.050
Ta 0.500 0.500 0.224
Y 0.000 0.000 0.447

Properties
The offset from the most stable computed form comes out at 0.80 eV per formula unit. For the total energy, the calculation gives -7.393 eV/atom. The value obtained for the energy of formation is 2.521 eV per formula unit. The theoretical density is 9038 kg/m3.

=====

# 2
DFT (PBE-GGA) results for an optimized crystal structure of La2Co3Si4.

Cell: 5.581 5.581 6.379 Å, 101.16 101.16 123.87°
Site moments in Bohr magnetons follow the coordinates.
Fractional positions:
La 0.634 0.634 0.268  0.01
La 0.366 0.366 0.732  0.01
Co 0.500 0.000 0.000  0.08
Co 0.000 0.000 0.000  0.56
Co 0.000 0.500 0.000  0.08
Si 0.035 0.661 0.697  0.00
Si 0.661 0.035 0.697  0.00
Si 0.965 0.339 0.303  0.00
Si 0.339 0.965 0.303  0.00

Properties
For the total energy, the calculation gives -6.363 eV/atom. The theoretical density is 6263 kg/m3.

=====

# 3
DFT (PBE-GGA) results for an optimized crystal structure of RbBaTe2.

Cell: 5.024 5.024 9.262 Å, 74.26 74.26 60.00°
Fractional positions:
Rb 0.498 0.498 0.507
Ba 0.668 0.668 0.996
Te 0.075 0.075 0.775
Te 0.259 0.259 0.222

Properties
For the total energy, the calculation gives -3.391 eV/atom. The theoretical density is 4128 kg/m3.

=====

# 4
DFT (PBE-GGA) results for an optimized crystal structure of Sc2InSb.

Cell: 4.004 4.004 5.994 Å, 90.00 90.00 90.00°
Fractional positions:
In 0.000 0.000 0.474
Sb 0.500 0.500 0.781
Sc 0.000 0.000 0.980
Sc 0.500 0.500 0.265

Properties
The offset from the most stable computed form comes out at 0.59 eV per formula unit. For the total energy, the calculation gives -5.334 eV/atom. The theoretical density is 5640 kg/m3.

=====

# 5
DFT (PBE-GGA) results for an optimized crystal structure of Th2PbN.

Cell: 3.654 3.654 8.640 Å, 77.79 77.79 60.00°
Fractional positions:
Pb 0.500 0.500 0.500
Th 0.724 0.724 0.827
Th 0.276 0.276 0.173
N 0.000 0.000 0.000

Properties
For the total energy, the calculation gives -7.587 eV/atom. The theoretical density is 11745 kg/m3.

=====

# 6
DFT (PBE-GGA) results for an optimized crystal structure of NaHgAs3.

Cell: 5.063 5.063 5.063 Å, 90.00 90.00 90.00°
Fractional positions:
Na 0.000 0.000 0.000
As 0.000 0.500 0.000
As 0.000 0.000 0.500
As 0.500 0.000 0.000
Hg 0.500 0.500 0.500

Properties
The offset from the most stable computed form comes out at 1.53 eV per formula unit. For the total energy, the calculation gives -2.137 eV/atom. The value obtained for the energy of formation is 4.886 eV per formula unit. The theoretical density is 5737 kg/m3.

=====

# 7
DFT (PBE-GGA) results for an optimized crystal structure of BeInAg2.

Cell: 4.950 4.950 4.950 Å, 130.91 130.91 71.95°
Fractional positions:
Be 0.250 0.750 0.500
Ag 0.000 0.000 0.000
Ag 0.500 0.500 0.000
In 0.750 0.250 0.500

Properties
The offset from the most stable computed form comes out at 0.42 eV per formula unit. For the total energy, the calculation gives -2.799 eV/atom. The value obtained for the energy of formation is 0.972 eV per formula unit. The theoretical density is 8326 kg/m3.

=====

# 8
DFT (PBE-GGA) results for an optimized crystal structure of LiIn2BrCl.

Cell: 6.328 4.459 6.328 Å, 90.00 90.00 90.00°
Site moments in Bohr magnetons follow the coordinates.
Fractional positions:
Cl 0.000 0.500 0.000  0.03
Li 0.000 0.000 0.000  0.04
Br 0.500 0.500 0.500  0.00
In 0.000 0.000 0.500  0.10
In 0.500 0.000 0.000  0.06

Properties
For the total energy, the calculation gives -2.663 eV/atom. The theoretical density is 3273 kg/m3.

=====

# 9
DFT (PBE-GGA) results for an optimized crystal structure of AgP2Br.

Cell: 4.664 4.664 4.658 Å, 68.84 68.84 106.09°
Fractional positions:
Ag 0.500 0.000 0.500
Br 0.000 0.500 0.500
P 0.000 0.000 0.000
P 0.500 0.500 0.000

Properties
The offset from the most stable computed form comes out at 1.91 eV per formula unit. For the total energy, the calculation gives -3.336 eV/atom. The theoretical density is 5327 kg/m3.

=====

# 10
DFT (PBE-GGA) results for an optimized crystal structure of SmTiGa3.

Cell: 5.775 6.379 6.379 Å, 120.01 90.00 90.00°
Site moments in Bohr magnetons follow the coordinates.
Fractional positions:
Sm 0.250 0.333 0.667  0.01
Sm 0.750 0.667 0.333  0.01
Ti 0.000 0.000 0.000  0.32
Ti 0.500 0.000 0.000  0.32
Ga 0.250 0.803 0.197  0.01
Ga 0.750 0.197 0.803  0.01
Ga 0.250 0.803 0.606  0.01
Ga 0.750 0.197 0.394  0.01
Ga 0.250 0.394 0.197  0.01
Ga 0.750 0.606 0.803  0.01

Properties
For the total energy, the calculation gives -4.805 eV/atom. The value obtained for the energy of formation is -2.330 eV per formula unit. The theoretical density is 6648 kg/m3.

=====

# 11
DFT (PBE-GGA) results for an optimized crystal structure of Mg2ReIr.

Cell: 4.663 4.663 2.875 Å, 90.00 90.00 90.00°
Fractional positions:
Ir 0.000 0.500 0.500
Mg 0.000 0.000 0.000
Mg 0.500 0.500 0.000
Re 0.500 0.000 0.500

Properties
The offset from the most stable computed form comes out at 1.59 eV per formula unit. For the total energy, the calculation gives -5.812 eV/atom. The value obtained for the energy of formation is 1.250 eV per formula unit. The theoretical density is 11345 kg/m3.

=====

# 12
DFT (PBE-GGA) results for an optimized crystal structure of TaTl2In.

Cell: 5.791 5.791 5.440 Å, 82.62 82.62 31.11°
Fractional positions:
In 0.516 0.516 0.478
Ta 0.246 0.246 0.259
Tl 0.987 0.987 0.009
Tl 0.751 0.751 0.753

Properties
The offset from the most stable computed form comes out at 0.55 eV per formula unit. For the total energy, the calculation gives -4.328 eV/atom. The value obtained for the energy of formation is 2.010 eV per formula unit. The theoretical density is 12525 kg/m3.

=====

# 13
DFT (PBE-GGA) results for an optimized crystal structure of KMgCdIn.

Cell: 5.391 5.391 5.391 Å, 60.00 60.00 60.00°
Fractional positions:
K 0.500 0.500 0.500
Cd 0.750 0.750 0.750
Mg 0.250 0.250 0.250
In 0.000 0.000 0.000

Properties
For the total energy, the calculation gives -1.549 eV/atom. The value obtained for the energy of formation is 0.148 eV per formula unit. The theoretical density is 4355 kg/m3.

=====

# 14
DFT (PBE-GGA) results for an optimized crystal structure of CrAgAu2.

Cell: 7.464 7.464 5.961 Å, 51.24 51.24 90.00°
Site moments in Bohr magnetons follow the coordinates.
Fractional positions:
Cr 0.500 0.500 0.000  3.74
Cr 0.250 0.750 0.500  3.74
Au 0.615 0.125 0.250  0.08
Au 0.135 0.625 0.250  0.08
Au 0.375 0.385 0.750  0.08
Au 0.875 0.865 0.750  0.08
Ag 0.000 0.000 0.000  0.06
Ag 0.750 0.250 0.500  0.06

Properties
For the total energy, the calculation gives -4.412 eV/atom. The value obtained for the energy of formation is 1.382 eV per formula unit. The theoretical density is 11911 kg/m3.

=====

# 15
DFT (PBE-GGA) results for an optimized crystal structure of K2Tl8Au.

Cell: 5.137 5.137 13.068 Å, 90.00 90.00 90.00°
Fractional positions:
K 0.000 0.000 0.308
K 0.000 0.000 0.692
Tl 0.000 0.500 0.500
Tl 0.500 0.000 0.500
Tl 0.500 0.500 0.320
Tl 0.500 0.500 0.680
Tl 0.000 0.500 0.125
Tl 0.500 0.000 0.125
Tl 0.000 0.500 0.875
Tl 0.500 0.000 0.875
Au 0.000 0.000 0.000

Properties
For the total energy, the calculation gives -2.269 eV/atom. The value obtained for the energy of formation is -0.558 eV per formula unit. The theoretical density is 9198 kg/m3.

=====

# 16
DFT (PBE-GGA) results for an optimized crystal structure of BaY2Te.

Cell: 7.114 7.114 6.018 Å, 64.99 64.99 31.69°
Fractional positions:
Ba 0.750 0.750 0.750
Te 0.250 0.250 0.250
Y 0.955 0.955 0.045
Y 0.545 0.545 0.455

Properties
For the total energy, the calculation gives -5.034 eV/atom. The theoretical density is 5116 kg/m3.

=====

# 17
DFT (PBE-GGA) results for an optimized crystal structure of BiH2Rh2.

Cell: 4.752 5.750 5.793 Å, 94.47 65.76 65.63°
Fractional positions:
Bi 0.872 0.750 0.249
Bi 0.128 0.250 0.751
H 0.524 0.394 0.306
H 0.777 0.894 0.806
H 0.223 0.106 0.194
H 0.476 0.606 0.694
Rh 0.514 0.745 0.961
Rh 0.779 0.246 0.463
Rh 0.486 0.255 0.039
Rh 0.221 0.754 0.537

Properties
The offset from the most stable computed form comes out at 0.01 eV per formula unit. For the total energy, the calculation gives -5.082 eV/atom. The theoretical density is 11030 kg/m3.

=====

# 18
DFT (PBE-GGA) results for an optimized crystal structure of Ti2Mo6W.

Cell: 2.672 8.126 8.145 Å, 119.92 105.73 90.00°
Fractional positions:
Ti 0.352 0.669 0.338
Ti 0.648 0.331 0.662
Mo 0.019 0.339 0.335
Mo 0.981 0.004 0.665
Mo 0.981 0.661 0.665
Mo 0.500 0.329 0.000
Mo 0.019 0.996 0.335
Mo 0.500 0.671 0.000
W 0.000 0.000 0.000

Properties
The offset from the most stable computed form comes out at 2.17 eV per formula unit. For the total energy, the calculation gives -10.306 eV/atom. The value obtained for the energy of formation is 0.977 eV per formula unit. The theoretical density is 9756 kg/m3.

=====

# 19
DFT (PBE-GGA) results for an optimized crystal structure of AcSiAg2F8.

Cell: 4.330 6.574 7.112 Å, 89.81 89.99 91.56°
Fractional positions:
Ac 0.000 0.000 0.500
Si 0.000 0.000 0.000
Ag 0.500 0.500 0.804
Ag 0.500 0.500 0.196
F 0.155 0.853 0.181
F 0.694 0.842 0.000
F 0.844 0.147 0.180
F 0.845 0.147 0.819
F 0.306 0.158 0.000
F 0.156 0.853 0.820
F 0.525 0.785 0.501
F 0.475 0.215 0.499

Properties
For the total energy, the calculation gives -5.161 eV/atom. The theoretical density is 5111 kg/m3.

=====

# 20
DFT (PBE-GGA) results for an optimized crystal structure of Cs6TeBr4.

Cell: 5.246 9.056 25.773 Å, 90.00 90.00 106.84°
Fractional positions:
Cs 0.500 0.000 0.000
Cs 0.500 0.000 0.500
Cs 0.052 0.104 0.334
Cs 0.948 0.896 0.666
Cs 0.948 0.896 0.834
Cs 0.052 0.104 0.166
Cs 0.768 0.536 0.409
Cs 0.232 0.464 0.591
Cs 0.232 0.464 0.909
Cs 0.768 0.536 0.091
Cs 0.309 0.618 0.250
Cs 0.691 0.382 0.750
Te 0.659 0.317 0.250
Te 0.341 0.683 0.750
Br 0.861 0.722 0.539
Br 0.407 0.815 0.127
Br 0.139 0.278 0.461
Br 0.593 0.185 0.873
Br 0.861 0.722 0.961
Br 0.139 0.278 0.039
Br 0.593 0.185 0.627
Br 0.407 0.815 0.373

Properties
For the total energy, the calculation gives -2.919 eV/atom. The theoretical density is 3527 kg/m3.